No. 1
Entry from the Alexandria database: a geometry-optimized PmTiBi structure (PBE).

As for the calculated volume: 27.42 Å³/atom. The calculation puts the formation energy at -0.120 eV/atom. The value obtained for the distance to the lowest polymorph of the same formula is 22.4 kJ/mol of formula units.

Lattice parameters (Å, degrees): 3.981 4.884 4.884 120.00 90.00 90.00
Site moments in Bohr magnetons follow the coordinates.
Positions (direct):
Pm (0.667, 0.667, 0.333)  0.13
Ti (0.167, 0.333, 0.667)  1.40
Bi (0.167, 0.000, 0.000)  -0.03

***

No. 2
Entry from the Alexandria database: a geometry-optimized PmTiBi2 structure (PBE).

As for the calculated volume: 29.05 Å³/atom. The calculation puts the formation energy at 0.155 eV/atom. The value obtained for the distance to the lowest polymorph of the same formula is 171.0 kJ/mol of formula units.

Lattice parameters (Å, degrees): 3.443 3.443 11.493 81.39 81.39 60.00
Site moments in Bohr magnetons follow the coordinates.
Positions (direct):
Ti (0.000, 0.000, 0.000)  0.99
Bi (0.915, 0.915, 0.254)  0.01
Pm (0.500, 0.500, 0.500)  0.00
Bi (0.085, 0.085, 0.746)  0.01

***

No. 3
Entry from the Alexandria database: a geometry-optimized Pm2TiBi structure (PBE).

As for the calculated volume: 28.14 Å³/atom. The calculation puts the formation energy at -0.195 eV/atom.

Lattice parameters (Å, degrees): 4.308 5.112 5.112 90.00 90.00 90.00
Site moments in Bohr magnetons follow the coordinates.
Positions (direct):
Bi (0.500, 0.000, 0.000)  -0.03
Pm (0.000, 0.500, 0.000)  0.20
Ti (0.500, 0.500, 0.500)  1.65
Pm (0.000, 0.000, 0.500)  0.20

***

No. 4
Entry from the Alexandria database: a geometry-optimized PmTiBi2 structure (PBE).

As for the calculated volume: 26.41 Å³/atom. The calculation puts the formation energy at -0.288 eV/atom. The value obtained for the distance to the lowest polymorph of the same formula is 0.0 kJ/mol of formula units.

Lattice parameters (Å, degrees): 3.629 3.629 8.021 90.00 90.00 90.00
Site moments in Bohr magnetons follow the coordinates.
Positions (direct):
Ti (0.500, 0.500, 0.000)  0.91
Bi (0.000, 0.000, 0.783)  -0.03
Pm (0.500, 0.500, 0.500)  0.16
Bi (0.000, 0.000, 0.217)  -0.03

***

No. 5
Entry from the Alexandria database: a geometry-optimized Pm12Tl3Bi structure (PBE).

As for the calculated volume: 30.57 Å³/atom. The calculation puts the formation energy at -0.261 eV/atom.

Lattice parameters (Å, degrees): 4.971 4.971 19.794 90.00 90.00 90.00
Positions (direct):
Pm (0.500, 0.000, 0.124)
Bi (0.000, 0.000, 0.000)
Pm (0.500, 0.000, 0.374)
Pm (0.500, 0.500, 0.500)
Pm (0.500, 0.500, 0.752)
Pm (0.500, 0.000, 0.876)
Tl (0.000, 0.000, 0.749)
Pm (0.500, 0.500, 0.248)
Pm (0.000, 0.500, 0.124)
Pm (0.000, 0.500, 0.626)
Pm (0.500, 0.000, 0.626)
Tl (0.000, 0.000, 0.251)
Pm (0.500, 0.500, 0.000)
Tl (0.000, 0.000, 0.500)
Pm (0.000, 0.500, 0.374)
Pm (0.000, 0.500, 0.876)

***

No. 6
Entry from the Alexandria database: a geometry-optimized Pm4Tl2Bi structure (PBE).

As for the calculated volume: 31.71 Å³/atom. The calculation puts the formation energy at -0.485 eV/atom.

Lattice parameters (Å, degrees): 8.324 8.323 8.321 109.51 109.52 109.37
Positions (direct):
Pm (0.872, 0.621, 0.106)
Pm (0.378, 0.984, 0.249)
Bi (0.000, 0.000, 0.000)
Tl (0.125, 0.501, 0.876)
Tl (0.751, 0.875, 0.376)
Tl (0.499, 0.375, 0.624)
Bi (0.250, 0.750, 0.500)
Pm (0.515, 0.765, 0.894)
Pm (0.234, 0.128, 0.749)
Tl (0.625, 0.249, 0.124)
Pm (0.379, 0.485, 0.250)
Pm (0.735, 0.129, 0.750)
Pm (0.015, 0.265, 0.394)
Pm (0.871, 0.622, 0.606)